TaWSe after structural relaxation, computed with GGA-PBE.

Values from the calculation:
raw formation energy	96	meV/atom
electronic total energy	-28.00	eV per formula unit

Geometry as CIF:
```
data_TaWSe
_space_group_name_H-M_alt 'A m m 2'
_space_group_IT_number 38
_cell_length_a 11.993
_cell_length_b 3.283
_cell_length_c 5.242
_cell_angle_alpha 90.00
_cell_angle_beta 90.00
_cell_angle_gamma 90.00
loop_
_space_group_symop_operation_xyz
'x,y,z'
'-x,-y,z'
'-x,y,z'
'x,-y,z'
'x,y+1/2,z+1/2'
'-x,-y+1/2,z+1/2'
'-x,y+1/2,z+1/2'
'x,-y+1/2,z+1/2'
loop_
_atom_site_label
_atom_site_type_symbol
_atom_site_fract_x
_atom_site_fract_y
_atom_site_fract_z
Ta1 Ta 0.000 0.000 0.000
Ta2 Ta 0.500 0.000 0.496
W1 W 0.320 0.000 0.991
Se1 Se 0.161 0.000 0.655
```



TaWSe after structural relaxation, computed with GGA-PBE.

Values from the calculation:
raw formation energy	246	meV/atom
electronic total energy	-27.55	eV per formula unit

Geometry as CIF:
```
data_TaWSe
_space_group_name_H-M_alt 'P 3 m 1'
_space_group_IT_number 156
_cell_length_a 4.4554
_cell_length_b 4.4554
_cell_length_c 2.9962
_cell_angle_alpha 90.00
_cell_angle_beta 90.00
_cell_angle_gamma 120.00
loop_
_space_group_symop_operation_xyz
'x,y,z'
'-y,x-y,z'
'-x+y,-x,z'
'-y,-x,z'
'-x+y,y,z'
'x,x-y,z'
loop_
_atom_site_label
_atom_site_type_symbol
_atom_site_fract_x
_atom_site_fract_y
_atom_site_fract_z
Ta1 Ta 0.0000 0.0000 0.0000
W1 W 0.6667 0.3333 0.5901
Se1 Se 0.3333 0.6667 0.5720
```



TaW2Se after structural relaxation, computed with GGA-PBE.

Values from the calculation:
raw formation energy	460	meV/atom
electronic total energy	-39.41	eV per formula unit

Geometry as CIF:
```
data_TaW2Se
_space_group_name_H-M_alt 'P 4/m m m'
_space_group_IT_number 123
_space_group_name_Hall '-P 4 2'
_cell_length_a 2.947
_cell_length_b 2.947
_cell_length_c 7.704
_cell_angle_alpha 90.00
_cell_angle_beta 90.00
_cell_angle_gamma 90.00
loop_
_atom_site_label
_atom_site_type_symbol
_atom_site_fract_x
_atom_site_fract_y
_atom_site_fract_z
Ta1 Ta 0.000 0.000 0.000
W1 W 0.500 0.500 0.278
Se1 Se 0.000 0.000 0.500
```



TaWSe4 after structural relaxation, computed with GGA-PBE.

Values from the calculation:
raw formation energy	1400	meV/atom
electronic total energy	-30.34	eV per formula unit

Geometry as CIF:
```
data_TaWSe4
_space_group_name_H-M_alt 'F -4 3 m'
_space_group_IT_number 216
_space_group_name_Hall 'F -4 2 3'
_cell_length_a 7.647
_cell_length_b 7.647
_cell_length_c 7.647
_cell_angle_alpha 90.00
_cell_angle_beta 90.00
_cell_angle_gamma 90.00
loop_
_atom_site_label
_atom_site_type_symbol
_atom_site_fract_x
_atom_site_fract_y
_atom_site_fract_z
Ta1 Ta 0.000 0.000 0.000
W1 W 0.250 0.250 0.750
Se1 Se 0.125 0.125 0.375
```



TaW3Se after structural relaxation, computed with GGA-PBE.

Values from the calculation:
raw formation energy	2430	meV/atom
electronic total energy	-42.05	eV per formula unit

Geometry as CIF:
```
data_TaW3Se
_space_group_name_H-M_alt 'P m -3 m'
_space_group_IT_number 221
_space_group_name_Hall '-P 4 2 3'
_cell_length_a 4.829
_cell_length_b 4.829
_cell_length_c 4.829
_cell_angle_alpha 90.00
_cell_angle_beta 90.00
_cell_angle_gamma 90.00
loop_
_atom_site_label
_atom_site_type_symbol
_atom_site_fract_x
_atom_site_fract_y
_atom_site_fract_z
Ta1 Ta 0.000 0.000 0.000
W1 W 0.000 0.000 0.500
Se1 Se 0.500 0.500 0.500
```



TaW2Se after structural relaxation, computed with GGA-PBE.

Values from the calculation:
raw formation energy	228	meV/atom
electronic total energy	-40.33	eV per formula unit

Geometry as CIF:
```
data_TaW2Se
_space_group_name_H-M_alt 'P 4 m m'
_space_group_IT_number 99
_cell_length_a 3.210
_cell_length_b 3.210
_cell_length_c 6.617
_cell_angle_alpha 90.00
_cell_angle_beta 90.00
_cell_angle_gamma 90.00
loop_
_space_group_symop_operation_xyz
'x,y,z'
'-y,x,z'
'-x,-y,z'
'y,-x,z'
'-x,y,z'
'y,x,z'
'x,-y,z'
'-y,-x,z'
loop_
_atom_site_label
_atom_site_type_symbol
_atom_site_fract_x
_atom_site_fract_y
_atom_site_fract_z
Ta1 Ta 0.000 0.000 0.000
W1 W 0.000 0.000 0.481
W2 W 0.500 0.500 0.268
Se1 Se 0.500 0.500 0.776
```



TaW2Se after structural relaxation, computed with GGA-PBE.

Values from the calculation:
raw formation energy	296	meV/atom
electronic total energy	-40.06	eV per formula unit

Geometry as CIF:
```
data_TaW2Se
_space_group_name_H-M_alt 'P 1 m 1'
_space_group_IT_number 6
_cell_length_a 2.953
_cell_length_b 4.349
_cell_length_c 5.317
_cell_angle_alpha 90.00
_cell_angle_beta 97.14
_cell_angle_gamma 90.00
loop_
_space_group_symop_operation_xyz
'x,y,z'
'x,-y,z'
loop_
_atom_site_label
_atom_site_type_symbol
_atom_site_fract_x
_atom_site_fract_y
_atom_site_fract_z
Ta1 Ta 0.000 0.000 0.000
W1 W 0.390 0.000 0.495
W2 W 0.670 0.500 0.273
Se1 Se 0.456 0.500 0.793
```



Ta3WSe after structural relaxation, computed with GGA-PBE.

Values from the calculation:
raw formation energy	1503	meV/atom
electronic total energy	-44.48	eV per formula unit

Geometry as CIF:
```
data_Ta3WSe
_space_group_name_H-M_alt 'P m -3 m'
_space_group_IT_number 221
_space_group_name_Hall '-P 4 2 3'
_cell_length_a 4.898
_cell_length_b 4.898
_cell_length_c 4.898
_cell_angle_alpha 90.00
_cell_angle_beta 90.00
_cell_angle_gamma 90.00
loop_
_atom_site_label
_atom_site_type_symbol
_atom_site_fract_x
_atom_site_fract_y
_atom_site_fract_z
Ta1 Ta 0.000 0.000 0.500
W1 W 0.000 0.000 0.000
Se1 Se 0.500 0.500 0.500
```



Ta4WSe after structural relaxation, computed with GGA-PBE.

Values from the calculation:
raw formation energy	653	meV/atom
electronic total energy	-59.93	eV per formula unit

Geometry as CIF:
```
data_Ta4WSe
_space_group_name_H-M_alt 'F -4 3 m'
_space_group_IT_number 216
_space_group_name_Hall 'F -4 2 3'
_cell_length_a 7.650
_cell_length_b 7.650
_cell_length_c 7.650
_cell_angle_alpha 90.00
_cell_angle_beta 90.00
_cell_angle_gamma 90.00
loop_
_atom_site_label
_atom_site_type_symbol
_atom_site_fract_x
_atom_site_fract_y
_atom_site_fract_z
Ta1 Ta 0.124 0.124 0.124
W1 W 0.250 0.250 0.750
Se1 Se 0.000 0.000 0.500
```



TaW2Se after structural relaxation, computed with GGA-PBE.

Values from the calculation:
raw formation energy	297	meV/atom
electronic total energy	-40.05	eV per formula unit

Geometry as CIF:
```
data_TaW2Se
_space_group_name_H-M_alt 'R 3 m'
_space_group_IT_number 160
_space_group_name_Hall 'R 3 -2"'
_cell_length_a 3.1575
_cell_length_b 3.1575
_cell_length_c 24.6713
_cell_angle_alpha 90.00
_cell_angle_beta 90.00
_cell_angle_gamma 120.00
loop_
_atom_site_label
_atom_site_type_symbol
_atom_site_fract_x
_atom_site_fract_y
_atom_site_fract_z
Ta1 Ta 0.0000 0.0000 0.0000
W1 W 0.0000 0.0000 0.2450
W2 W 0.0000 0.0000 0.5030
Se1 Se 0.0000 0.0000 0.7438
```



Ta2WSe after structural relaxation, computed with GGA-PBE.

Values from the calculation:
raw formation energy	243	meV/atom
electronic total energy	-39.17	eV per formula unit

Geometry as CIF:
```
data_Ta2WSe
_space_group_name_H-M_alt 'P 1 2/m 1'
_space_group_IT_number 10
_cell_length_a 2.951
_cell_length_b 4.583
_cell_length_c 5.192
_cell_angle_alpha 90.00
_cell_angle_beta 90.09
_cell_angle_gamma 90.00
loop_
_space_group_symop_operation_xyz
'x,y,z'
'-x,-y,-z'
'-x,y,-z'
'x,-y,z'
loop_
_atom_site_label
_atom_site_type_symbol
_atom_site_fract_x
_atom_site_fract_y
_atom_site_fract_z
Ta1 Ta 0.157 0.000 0.242
W1 W 0.500 0.500 0.000
Se1 Se 0.000 0.500 0.500
```



Ta2WSe after structural relaxation, computed with GGA-PBE.

Values from the calculation:
raw formation energy	205	meV/atom
electronic total energy	-39.32	eV per formula unit

Geometry as CIF:
```
data_Ta2WSe
_space_group_name_H-M_alt 'C m m 2'
_space_group_IT_number 35
_cell_length_a 3.308
_cell_length_b 4.970
_cell_length_c 8.604
_cell_angle_alpha 90.00
_cell_angle_beta 90.00
_cell_angle_gamma 90.00
loop_
_space_group_symop_operation_xyz
'x,y,z'
'-x,-y,z'
'-x,y,z'
'x,-y,z'
'x+1/2,y+1/2,z'
'-x+1/2,-y+1/2,z'
'-x+1/2,y+1/2,z'
'x+1/2,-y+1/2,z'
loop_
_atom_site_label
_atom_site_type_symbol
_atom_site_fract_x
_atom_site_fract_y
_atom_site_fract_z
Ta1 Ta 0.000 0.000 0.000
Ta2 Ta 0.000 0.500 0.265
W1 W 0.000 0.500 0.754
Se1 Se 0.000 0.000 0.505
```



TaWSe4 after structural relaxation, computed with GGA-PBE.

Values from the calculation:
raw formation energy	-677	meV/atom
electronic total energy	-42.81	eV per formula unit

Geometry as CIF:
```
data_TaWSe4
_space_group_name_H-M_alt 'P -6 m 2'
_space_group_IT_number 187
_space_group_name_Hall 'P -6 2'
_cell_length_a 3.4004
_cell_length_b 3.4004
_cell_length_c 14.0024
_cell_angle_alpha 90.00
_cell_angle_beta 90.00
_cell_angle_gamma 120.00
loop_
_atom_site_label
_atom_site_type_symbol
_atom_site_fract_x
_atom_site_fract_y
_atom_site_fract_z
Ta1 Ta 0.0000 0.0000 0.0000
W1 W 0.0000 0.0000 0.5000
Se1 Se 0.3333 0.6667 0.3819
Se2 Se 0.6667 0.3333 0.1216
```



Ta2WSe after structural relaxation, computed with GGA-PBE.

Values from the calculation:
raw formation energy	479	meV/atom
electronic total energy	-38.23	eV per formula unit

Geometry as CIF:
```
data_Ta2WSe
_space_group_name_H-M_alt 'F -4 3 m'
_space_group_IT_number 216
_space_group_name_Hall 'F -4 2 3'
_cell_length_a 6.530
_cell_length_b 6.530
_cell_length_c 6.530
_cell_angle_alpha 90.00
_cell_angle_beta 90.00
_cell_angle_gamma 90.00
loop_
_atom_site_label
_atom_site_type_symbol
_atom_site_fract_x
_atom_site_fract_y
_atom_site_fract_z
Ta1 Ta 0.000 0.000 0.000
Ta2 Ta 0.250 0.250 0.250
W1 W 0.250 0.250 0.750
Se1 Se 0.000 0.000 0.500
```